# K3ScPt, relaxed, DFT PBE-GGA
# - ΔE_f: 0.60 eV per atom
# - Energy above the most stable polymorph in this dataset: 0 meV/atom
data_K3ScPt
_chemical_formula_sum 'K3 Sc1 Pt1'
_cell_length_a 6.179
_cell_length_b 6.179
_cell_length_c 6.179
_cell_angle_alpha 90.00
_cell_angle_beta 90.00
_cell_angle_gamma 90.00
_symmetry_space_group_name_H-M 'P m -3 m'
_symmetry_Int_Tables_number 221
_symmetry_space_group_name_Hall '-P 4 2 3'
loop_
_atom_site_label
_atom_site_type_symbol
_atom_site_fract_x
_atom_site_fract_y
_atom_site_fract_z
K1 K 0.000 0.000 0.500
Sc1 Sc 0.500 0.500 0.500
Pt1 Pt 0.000 0.000 0.000

=====

# KScPt2Se, relaxed, DFT PBE-GGA
# - Formation energy (no corrections): 1.5304 eV per atom
data_KScPt2Se
_chemical_formula_sum 'K1 Sc1 Pt2 Se1'
_cell_length_a 4.883
_cell_length_b 4.883
_cell_length_c 5.393
_cell_angle_alpha 90.00
_cell_angle_beta 90.00
_cell_angle_gamma 90.00
_symmetry_space_group_name_H-M 'P 4/m m m'
_symmetry_Int_Tables_number 123
_symmetry_space_group_name_Hall '-P 4 2'
loop_
_atom_site_label
_atom_site_type_symbol
_atom_site_fract_x
_atom_site_fract_y
_atom_site_fract_z
K1 K 0.000 0.000 0.000
Sc1 Sc 0.000 0.000 0.500
Pt1 Pt 0.000 0.500 0.000
Se1 Se 0.500 0.500 0.500

=====

# KSr2ScPt, relaxed, DFT PBE-GGA
# - ΔE_f: 0.91 eV per atom
data_KSr2ScPt
_chemical_formula_sum 'K1 Sr2 Sc1 Pt1'
_cell_length_a 6.032
_cell_length_b 6.032
_cell_length_c 5.157
_cell_angle_alpha 90.00
_cell_angle_beta 90.00
_cell_angle_gamma 90.00
_symmetry_space_group_name_H-M 'P 4/m m m'
_symmetry_Int_Tables_number 123
_symmetry_space_group_name_Hall '-P 4 2'
loop_
_atom_site_label
_atom_site_type_symbol
_atom_site_fract_x
_atom_site_fract_y
_atom_site_fract_z
K1 K 0.000 0.000 0.000
Sr1 Sr 0.000 0.500 0.000
Sc1 Sc 0.500 0.500 0.500
Pt1 Pt 0.000 0.000 0.500

=====

# KScTaPt2, relaxed, DFT PBE-GGA
# - ΔE_f: 1.76 eV per atom
data_KScTaPt2
_chemical_formula_sum 'K1 Sc1 Ta1 Pt2'
_cell_length_a 4.898
_cell_length_b 4.898
_cell_length_c 4.472
_cell_angle_alpha 90.00
_cell_angle_beta 90.00
_cell_angle_gamma 90.00
_symmetry_space_group_name_H-M 'P 4/m m m'
_symmetry_Int_Tables_number 123
_symmetry_space_group_name_Hall '-P 4 2'
loop_
_atom_site_label
_atom_site_type_symbol
_atom_site_fract_x
_atom_site_fract_y
_atom_site_fract_z
K1 K 0.000 0.000 0.000
Sc1 Sc 0.000 0.000 0.500
Ta1 Ta 0.500 0.500 0.500
Pt1 Pt 0.000 0.500 0.000

=====

# K2ScTcPt, relaxed, DFT PBE-GGA
# - ΔE_f: 1.32 eV per atom
data_K2ScTcPt
_chemical_formula_sum 'K2 Sc1 Tc1 Pt1'
_cell_length_a 5.916
_cell_length_b 5.916
_cell_length_c 4.800
_cell_angle_alpha 90.00
_cell_angle_beta 90.00
_cell_angle_gamma 90.00
_symmetry_space_group_name_H-M 'P 4/m m m'
_symmetry_Int_Tables_number 123
_symmetry_space_group_name_Hall '-P 4 2'
loop_
_atom_site_label
_atom_site_type_symbol
_atom_site_fract_x
_atom_site_fract_y
_atom_site_fract_z
K1 K 0.000 0.500 0.000
Sc1 Sc 0.000 0.000 0.500
Tc1 Tc 0.500 0.500 0.000
Pt1 Pt 0.500 0.500 0.500

=====

# KScTc2Pt, relaxed, DFT PBE-GGA
# - ΔE_f: 1.33 eV per atom
data_KScTc2Pt
_chemical_formula_sum 'K1 Sc1 Tc2 Pt1'
_cell_length_a 4.917
_cell_length_b 4.917
_cell_length_c 5.020
_cell_angle_alpha 90.00
_cell_angle_beta 90.00
_cell_angle_gamma 90.00
_symmetry_space_group_name_H-M 'P 4/m m m'
_symmetry_Int_Tables_number 123
_symmetry_space_group_name_Hall '-P 4 2'
loop_
_atom_site_label
_atom_site_type_symbol
_atom_site_fract_x
_atom_site_fract_y
_atom_site_fract_z
K1 K 0.000 0.000 0.000
Sc1 Sc 0.500 0.500 0.500
Tc1 Tc 0.000 0.500 0.500
Pt1 Pt 0.500 0.500 0.000

=====

# KSc2TlPt, relaxed, DFT PBE-GGA
# - ΔE_f: -0.04 eV per atom
data_KSc2TlPt
_chemical_formula_sum 'K1 Sc2 Tl1 Pt1'
_cell_length_a 5.118
_cell_length_b 5.118
_cell_length_c 6.053
_cell_angle_alpha 90.00
_cell_angle_beta 90.00
_cell_angle_gamma 90.00
_symmetry_space_group_name_H-M 'P 4/m m m'
_symmetry_Int_Tables_number 123
_symmetry_space_group_name_Hall '-P 4 2'
loop_
_atom_site_label
_atom_site_type_symbol
_atom_site_fract_x
_atom_site_fract_y
_atom_site_fract_z
K1 K 0.000 0.000 0.000
Sc1 Sc 0.000 0.500 0.500
Tl1 Tl 0.500 0.500 0.000
Pt1 Pt 0.000 0.000 0.500

=====

# KScPtW2, relaxed, DFT PBE-GGA
# - ΔE_f: 1.34 eV per atom
data_KScPtW2
_chemical_formula_sum 'K1 Sc1 Pt1 W2'
_cell_length_a 4.956
_cell_length_b 4.956
_cell_length_c 5.190
_cell_angle_alpha 90.00
_cell_angle_beta 90.00
_cell_angle_gamma 90.00
_symmetry_space_group_name_H-M 'P 4/m m m'
_symmetry_Int_Tables_number 123
_symmetry_space_group_name_Hall '-P 4 2'
loop_
_atom_site_label
_atom_site_type_symbol
_atom_site_fract_x
_atom_site_fract_y
_atom_site_fract_z
K1 K 0.000 0.000 0.000
Sc1 Sc 0.500 0.500 0.000
Pt1 Pt 0.500 0.500 0.500
W1 W 0.000 0.500 0.500

=====

# KPt4Se8, relaxed, DFT PBE-GGA
# - Formation energy (no corrections): -0.4819 eV per atom
data_KPt4Se8
_chemical_formula_sum 'K3 Pt12 Se24'
_cell_length_a 7.5602
_cell_length_b 7.5602
_cell_length_c 23.9041
_cell_angle_alpha 90.00
_cell_angle_beta 90.00
_cell_angle_gamma 120.00
_symmetry_space_group_name_H-M 'R -3 m'
_symmetry_Int_Tables_number 166
_symmetry_space_group_name_Hall '-R 3 2"'
loop_
_atom_site_label
_atom_site_type_symbol
_atom_site_fract_x
_atom_site_fract_y
_atom_site_fract_z
K1 K 0.0000 0.0000 0.0000
Pt1 Pt 0.0000 0.0000 0.5000
Pt2 Pt 0.0000 0.5000 0.5000
Se1 Se 0.0000 0.0000 0.2213
Se2 Se 0.0036 0.5018 0.7788

=====

# K2Pt4Se7, relaxed, DFT PBE-GGA
# - Formation energy (no corrections): -0.4552 eV per atom
data_K2Pt4Se7
_chemical_formula_sum 'K2 Pt4 Se7'
_cell_length_a 6.6587
_cell_length_b 6.6587
_cell_length_c 8.1627
_cell_angle_alpha 90.00
_cell_angle_beta 90.00
_cell_angle_gamma 120.00
_symmetry_space_group_name_H-M 'P -3 1 m'
_symmetry_Int_Tables_number 162
_symmetry_space_group_name_Hall '-P 3 2'
loop_
_atom_site_label
_atom_site_type_symbol
_atom_site_fract_x
_atom_site_fract_y
_atom_site_fract_z
K1 K 0.3333 0.6667 0.0000
Pt1 Pt 0.0000 0.0000 0.3236
Pt2 Pt 0.3333 0.6667 0.5000
Se1 Se 0.0000 0.0000 0.0000
Se2 Se 0.0000 0.3667 0.3264

=====

# K3Pt2Se4, relaxed, DFT PBE-GGA
# - Formation energy (no corrections): -0.5836 eV per atom
data_K3Pt2Se4
_chemical_formula_sum 'K12 Pt8 Se16'
_cell_length_a 6.669
_cell_length_b 17.692
_cell_length_c 9.936
_cell_angle_alpha 90.00
_cell_angle_beta 90.00
_cell_angle_gamma 90.00
_symmetry_space_group_name_H-M 'I m m a'
_symmetry_Int_Tables_number 74
_symmetry_space_group_name_Hall '-I 2b 2'
loop_
_atom_site_label
_atom_site_type_symbol
_atom_site_fract_x
_atom_site_fract_y
_atom_site_fract_z
K1 K 0.000 0.096 0.052
K2 K 0.000 0.250 0.599
Pt1 Pt 0.000 0.039 0.616
Se1 Se 0.000 0.101 0.387
Se2 Se 0.250 0.112 0.750

=====

# KPt4Se, relaxed, DFT PBE-GGA
# - Formation energy (no corrections): 0.1708 eV per atom
data_KPt4Se
_chemical_formula_sum 'K4 Pt16 Se4'
_cell_length_a 7.691
_cell_length_b 7.691
_cell_length_c 7.691
_cell_angle_alpha 90.00
_cell_angle_beta 90.00
_cell_angle_gamma 90.00
_symmetry_space_group_name_H-M 'F -4 3 m'
_symmetry_Int_Tables_number 216
_symmetry_space_group_name_Hall 'F -4 2 3'
loop_
_atom_site_label
_atom_site_type_symbol
_atom_site_fract_x
_atom_site_fract_y
_atom_site_fract_z
K1 K 0.000 0.000 0.000
Pt1 Pt 0.125 0.125 0.625
Se1 Se 0.250 0.250 0.250